No. 1
This record from the Alexandria database describes a crystal of Zr2Co2Tc relaxed with PBEsol. The functional is SCAN.

Values from the calculation:
Magnetic moment: 2.81 μB/f.u.
N(E_F): 2.75 states/eV/f.u.
DFT total energy: -26.24 eV/atom
Crystal system: tetragonal

a b c (Å): 8.0367 8.0367 8.0367
angles (deg): 156.88 156.88 32.93
Atoms (fractional coordinates):
1 Zr 0.1039 0.1039 0.0000
2 Zr 0.8961 0.8961 0.0000
3 Co 0.2500 0.7500 0.5000
4 Co 0.7500 0.2500 0.5000
5 Tc 0.5000 0.5000 0.0000

=====

No. 2
This record from the Alexandria database describes a crystal of ZrCoTc2 relaxed with PBEsol. The functional is SCAN.

Values from the calculation:
Magnetic moment: 0.00 μB/f.u.
N(E_F): 4.73 states/eV/f.u.
DFT total energy: -29.37 eV/atom
Crystal system: tetragonal

a b c (Å): 4.9055 4.9055 4.9055
angles (deg): 134.89 134.89 65.70
Atoms (fractional coordinates):
1 Zr 0.0000 0.0000 0.0000
2 Co 0.5000 0.5000 0.0000
3 Tc 0.2500 0.7500 0.5000
4 Tc 0.7500 0.2500 0.5000

=====

No. 3
This record from the Alexandria database describes a crystal of ZrCoTc2 relaxed with PBEsol. The functional is SCAN.

Values from the calculation:
Magnetic moment: 1.90 μB/f.u.
N(E_F): 3.05 states/eV/f.u.
DFT total energy: -29.50 eV/atom
Crystal system: monoclinic

a b c (Å): 5.1231 5.1231 2.7103
angles (deg): 100.54 100.54 118.47
Atoms (fractional coordinates):
1 Zr 0.0000 0.0000 0.0000
2 Co 0.5000 0.5000 0.0000
3 Tc 0.0000 0.5000 0.5000
4 Tc 0.5000 0.0000 0.5000

=====

No. 4
This record from the Alexandria database describes a crystal of ZrCo4Tc relaxed with PBEsol. The functional is SCAN.

Values from the calculation:
Magnetic moment: 7.64 μB/f.u.
N(E_F): 3.88 states/eV/f.u.
DFT total energy: -22.60 eV/atom
Crystal system: cubic

a b c (Å): 4.7307 4.7307 4.7307
angles (deg): 60.00 60.00 60.00
Atoms (fractional coordinates):
1 Zr 0.0000 0.0000 0.0000
2 Co 0.1260 0.6247 0.6247
3 Co 0.6247 0.1260 0.6247
4 Co 0.6247 0.6247 0.1260
5 Co 0.6247 0.6247 0.6247
6 Tc 0.2500 0.2500 0.2500

=====

No. 5
This record from the Alexandria database describes a crystal of ZrCoTc2 relaxed with PBEsol. The functional is SCAN.

Values from the calculation:
Magnetic moment: 3.47 μB/f.u.
N(E_F): 2.28 states/eV/f.u.
DFT total energy: -29.41 eV/atom
Crystal system: cubic

a b c (Å): 4.3618 4.3618 4.3618
angles (deg): 60.00 60.00 60.00
Atoms (fractional coordinates):
1 Zr 0.0000 0.0000 0.0000
2 Co 0.5000 0.5000 0.5000
3 Tc 0.2500 0.2500 0.2500
4 Tc 0.7500 0.7500 0.7500

=====

No. 6
This record from the Alexandria database describes a crystal of CoTe3 relaxed with PBEsol. The functional is SCAN.

Values from the calculation:
Magnetic moment: 0.00 μB/f.u.
N(E_F): 2.64 states/eV/f.u.
E_form (uncorrected): 30 meV/atom
Crystal system: orthorhombic

a b c (Å): 5.3360 5.3360 3.6925
angles (deg): 90.00 90.00 119.52
Atoms (fractional coordinates):
1 Co 0.0000 0.0000 0.0000
2 Te 0.1809 0.8191 0.5000
3 Te 0.5000 0.5000 0.0000
4 Te 0.8191 0.1809 0.5000